Entry 1:
Compound: Ca2NbAs
Source: Alexandria
Functional: meta-GGA SCAN
Structure: single point on PBEsol structure

```
Ca2NbAs
1.0
4.992 0.000 0.000
2.496 7.185 0.000
2.496 0.000 7.185
As Ca Nb
2 4 2
Cartesian
3.744 3.593 3.593 As
2.496 0.000 0.000 As
8.112 6.202 4.575 Ca
3.120 0.983 2.610 Ca
4.368 4.575 0.983 Ca
4.368 2.610 6.202 Ca
6.240 3.593 3.593 Nb
0.000 0.000 0.000 Nb
```

## Properties
- Volume: 32.22 Å³ per atom
- E_tot: -18.11 eV/atom


Entry 2:
Compound: YScRe2
Source: Alexandria
Functional: meta-GGA SCAN
Structure: single point on PBEsol structure

```
YScRe2
1.0
-4.166 2.013 0.172
-3.445 -1.578 -2.660
-3.572 -2.233 1.922
Sc Re Y
1 2 1
Cartesian
-5.592 -0.899 -0.283 Sc
-2.796 -0.449 -0.142 Re
0.000 0.000 0.000 Re
-8.388 -1.348 -0.425 Y
```

## Properties
- Volume: 17.55 Å³ per atom
- Excess energy over the best structure of this formula in the dataset: 4.4 kJ/mol of formula units
- E_tot: -45.91 eV/atom